Density functional theory data (meta-GGA SCAN) for a PBEsol-optimized structure of Al5Zn.

The structure in POSCAR format:
```
Al5Zn
1.0
4.890 0.000 0.000
-2.445 4.235 0.000
0.000 0.000 4.671
Al Zn
5 1
direct
0.000 0.333 0.000 Al
0.333 0.000 0.000 Al
0.333 0.667 0.500 Al
0.667 0.333 0.500 Al
0.667 0.667 0.000 Al
0.000 0.000 0.500 Zn
```

Output
- Energy of formation: 34 meV/atom
- DOS at the Fermi energy: 0.3802 states/eV/atom
- Calculated total energy: -52.07 eV per cell
- Spin magnetization: 0.02 Bohr magnetons per cell

Density functional theory data (meta-GGA SCAN) for a PBEsol-optimized structure of Al2Zn.

The structure in POSCAR format:
```
Al2Zn
1.0
2.836 0.000 0.000
-1.418 2.456 0.000
0.000 0.000 6.712
Al Zn
2 1
direct
0.333 0.667 0.170 Al
0.667 0.333 0.830 Al
0.000 0.000 0.500 Zn
```

Output
- Energy of formation: 2 meV/atom
- DOS at the Fermi energy: 0.2904 states/eV/atom
- Calculated total energy: -29.01 eV per cell
- Spin magnetization: 0.03 Bohr magnetons per cell

Density functional theory data (meta-GGA SCAN) for a PBEsol-optimized structure of Al2Zn.

The structure in POSCAR format:
```
Al2Zn
1.0
-3.104 3.104 2.493
3.104 -3.104 2.493
3.104 3.104 -2.493
Al Zn
4 2
direct
0.152 0.652 0.805 Al
0.348 0.152 0.500 Al
0.652 0.848 0.500 Al
0.848 0.348 0.195 Al
0.250 0.250 0.000 Zn
0.750 0.750 0.000 Zn
```

Output
- Energy of formation: 3 meV/atom
- DOS at the Fermi energy: 0.3374 states/eV/atom
- Calculated total energy: -58.02 eV per cell
- Spin magnetization: 0.00 Bohr magnetons per cell

Density functional theory data (meta-GGA SCAN) for a PBEsol-optimized structure of Al2Zn.

The structure in POSCAR format:
```
Al2Zn
1.0
0.000 2.963 2.963
2.963 0.000 2.963
2.963 2.963 0.000
Al Zn
2 1
direct
0.250 0.250 0.250 Al
0.750 0.750 0.750 Al
0.000 0.000 0.000 Zn
```

Output
- Energy of formation: 10 meV/atom
- DOS at the Fermi energy: 0.2999 states/eV/atom
- Calculated total energy: -28.99 eV per cell
- Spin magnetization: 0.00 Bohr magnetons per cell

Density functional theory data (meta-GGA SCAN) for a PBEsol-optimized structure of Al2Zn.

The structure in POSCAR format:
```
Al2Zn
1.0
4.743 -1.387 0.000
4.743 1.387 0.000
-3.280 0.000 7.107
Al Zn
4 2
direct
0.002 0.002 0.240 Al
0.334 0.334 0.415 Al
0.666 0.666 0.585 Al
0.998 0.998 0.760 Al
0.327 0.327 0.916 Zn
0.673 0.673 0.084 Zn
```

Output
- Energy of formation: 7 meV/atom
- DOS at the Fermi energy: 0.3444 states/eV/atom
- Calculated total energy: -58.00 eV per cell
- Spin magnetization: 0.00 Bohr magnetons per cell

Density functional theory data (meta-GGA SCAN) for a PBEsol-optimized structure of Al5Zn.

The structure in POSCAR format:
```
Al5Zn
1.0
5.172 -1.409 0.000
5.172 1.409 0.000
-2.061 0.000 6.604
Al Zn
5 1
direct
0.000 0.000 0.000 Al
0.051 0.051 0.601 Al
0.332 0.332 0.666 Al
0.669 0.669 0.331 Al
0.720 0.720 0.942 Al
0.388 0.388 0.270 Zn
```

Output
- Energy of formation: 30 meV/atom
- DOS at the Fermi energy: 0.3843 states/eV/atom
- Calculated total energy: -52.09 eV per cell
- Spin magnetization: 0.02 Bohr magnetons per cell

Density functional theory data (meta-GGA SCAN) for a PBEsol-optimized structure of Al5Zn.

The structure in POSCAR format:
```
Al5Zn
1.0
1.989 -5.979 0.000
1.989 5.979 0.000
0.000 0.000 4.001
Al Zn
5 1
direct
0.000 0.000 0.000 Al
0.165 0.835 0.500 Al
0.334 0.666 0.000 Al
0.666 0.334 0.000 Al
0.835 0.165 0.500 Al
0.500 0.500 0.500 Zn
```

Output
- Energy of formation: 3 meV/atom
- DOS at the Fermi energy: 0.3807 states/eV/atom
- Calculated total energy: -52.26 eV per cell
- Spin magnetization: 0.02 Bohr magnetons per cell

Density functional theory data (meta-GGA SCAN) for a PBEsol-optimized structure of AlZn5.

The structure in POSCAR format:
```
AlZn5
1.0
2.744 0.000 0.000
0.000 2.744 0.000
0.000 0.000 11.576
Al Zn
1 5
direct
0.000 0.000 0.000 Al
0.000 0.000 0.337 Zn
0.000 0.000 0.663 Zn
0.500 0.500 0.173 Zn
0.500 0.500 0.500 Zn
0.500 0.500 0.827 Zn
```

Output
- Energy of formation: 24 meV/atom
- DOS at the Fermi energy: 0.2951 states/eV/atom
- Calculated total energy: -75.19 eV per cell
- Spin magnetization: 0.00 Bohr magnetons per cell

Density functional theory data (meta-GGA SCAN) for a PBEsol-optimized structure of Al4Zn3.

The structure in POSCAR format:
```
Al4Zn3
1.0
4.960 0.000 0.000
-2.480 4.296 0.000
0.000 0.000 5.173
Al Zn
4 3
direct
0.000 0.000 0.243 Al
0.000 0.000 0.757 Al
0.333 0.667 0.000 Al
0.667 0.333 0.000 Al
0.000 0.500 0.500 Zn
0.500 0.000 0.500 Zn
0.500 0.500 0.500 Zn
```

Output
- Energy of formation: 29 meV/atom
- DOS at the Fermi energy: 0.3225 states/eV/atom
- Calculated total energy: -71.35 eV per cell
- Spin magnetization: 0.00 Bohr magnetons per cell

Density functional theory data (meta-GGA SCAN) for a PBEsol-optimized structure of Al2Zn.

The structure in POSCAR format:
```
Al2Zn
1.0
-1.416 1.941 4.277
1.416 -1.941 4.277
1.416 1.941 -4.277
Al Zn
2 1
direct
0.164 0.164 0.000 Al
0.836 0.836 0.000 Al
0.500 0.500 0.000 Zn
```

Output
- Energy of formation: 11 meV/atom
- DOS at the Fermi energy: 0.3274 states/eV/atom
- Calculated total energy: -28.99 eV per cell
- Spin magnetization: 0.00 Bohr magnetons per cell

Density functional theory data (meta-GGA SCAN) for a PBEsol-optimized structure of Al4Zn5.

The structure in POSCAR format:
```
Al4Zn5
1.0
-4.162 4.162 1.966
4.162 -4.162 1.966
4.162 4.162 -1.966
Al Zn
4 5
direct
0.000 0.327 0.327 Al
0.000 0.673 0.673 Al
0.327 0.000 0.327 Al
0.673 0.000 0.673 Al
0.000 0.000 0.000 Zn
0.335 0.335 0.670 Zn
0.335 0.665 0.000 Zn
0.665 0.335 0.000 Zn
0.665 0.665 0.330 Zn
```

Output
- Energy of formation: -1 meV/atom
- DOS at the Fermi energy: 0.2849 states/eV/atom
- Calculated total energy: -98.59 eV per cell
- Spin magnetization: 0.02 Bohr magnetons per cell

Density functional theory data (meta-GGA SCAN) for a PBEsol-optimized structure of AlZn5.

The structure in POSCAR format:
```
AlZn5
1.0
1.934 -5.814 0.000
1.934 5.814 0.000
0.000 0.000 3.885
Al Zn
1 5
direct
0.000 0.000 0.000 Al
0.168 0.832 0.500 Zn
0.332 0.668 0.000 Zn
0.500 0.500 0.500 Zn
0.668 0.332 0.000 Zn
0.832 0.168 0.500 Zn
```

Output
- Energy of formation: 17 meV/atom
- DOS at the Fermi energy: 0.2846 states/eV/atom
- Calculated total energy: -75.23 eV per cell
- Spin magnetization: 0.00 Bohr magnetons per cell

Density functional theory data (meta-GGA SCAN) for a PBEsol-optimized structure of Al5Zn.

The structure in POSCAR format:
```
Al5Zn
1.0
2.825 0.000 0.000
0.000 2.825 0.000
0.000 0.000 11.906
Al Zn
5 1
direct
0.000 0.000 0.000 Al
0.000 0.000 0.339 Al
0.000 0.000 0.661 Al
0.500 0.500 0.168 Al
0.500 0.500 0.832 Al
0.500 0.500 0.500 Zn
```

Output
- Energy of formation: 5 meV/atom
- DOS at the Fermi energy: 0.3786 states/eV/atom
- Calculated total energy: -52.24 eV per cell
- Spin magnetization: 0.00 Bohr magnetons per cell

Density functional theory data (meta-GGA SCAN) for a PBEsol-optimized structure of AlZn5.

The structure in POSCAR format:
```
AlZn5
1.0
4.885 0.000 0.000
0.000 1.338 6.737
0.000 -1.338 6.737
Al Zn
1 5
direct
0.000 0.000 0.000 Al
0.000 0.332 0.332 Zn
0.000 0.668 0.668 Zn
0.500 0.109 0.109 Zn
0.500 0.442 0.442 Zn
0.500 0.775 0.775 Zn
```

Output
- Energy of formation: 27 meV/atom
- DOS at the Fermi energy: 0.2342 states/eV/atom
- Calculated total energy: -75.17 eV per cell
- Spin magnetization: 0.00 Bohr magnetons per cell

Density functional theory data (meta-GGA SCAN) for a PBEsol-optimized structure of AlZn5.

The structure in POSCAR format:
```
AlZn5
1.0
4.527 0.000 0.000
-2.264 3.921 0.000
0.000 0.000 4.964
Al Zn
1 5
direct
0.000 0.000 0.000 Al
0.000 0.666 0.500 Zn
0.333 0.667 0.000 Zn
0.334 0.334 0.500 Zn
0.666 0.000 0.500 Zn
0.667 0.333 0.000 Zn
```

Output
- Energy of formation: 21 meV/atom
- DOS at the Fermi energy: 0.2558 states/eV/atom
- Calculated total energy: -75.20 eV per cell
- Spin magnetization: 0.00 Bohr magnetons per cell

Density functional theory data (meta-GGA SCAN) for a PBEsol-optimized structure of AlZn5.

The structure in POSCAR format:
```
AlZn5
1.0
5.291 -1.330 0.000
5.291 1.330 0.000
-2.596 0.000 6.248
Al Zn
1 5
direct
0.000 0.000 0.000 Al
0.056 0.056 0.611 Zn
0.332 0.332 0.662 Zn
0.384 0.384 0.281 Zn
0.663 0.663 0.340 Zn
0.723 0.723 0.944 Zn
```

Output
- Energy of formation: 28 meV/atom
- DOS at the Fermi energy: 0.2618 states/eV/atom
- Calculated total energy: -75.16 eV per cell
- Spin magnetization: 0.00 Bohr magnetons per cell

Density functional theory data (meta-GGA SCAN) for a PBEsol-optimized structure of ZrAlZn2.

The structure in POSCAR format:
```
ZrAlZn2
1.0
3.998 0.000 0.000
0.000 3.998 0.000
0.000 0.000 4.043
Zr Al Zn
1 1 2
direct
0.000 0.000 0.000 Zr
0.500 0.500 0.000 Al
0.000 0.500 0.500 Zn
0.500 0.000 0.500 Zn
```

Output
- Energy of formation: -465 meV/atom
- DOS at the Fermi energy: 0.3346 states/eV/atom
- Calculated total energy: -67.34 eV per cell
- Spin magnetization: 0.00 Bohr magnetons per cell

Density functional theory data (meta-GGA SCAN) for a PBEsol-optimized structure of ZrAlZn2.

The structure in POSCAR format:
```
ZrAlZn2
1.0
3.105 0.000 0.000
0.000 3.105 0.000
0.000 0.000 6.740
Zr Al Zn
1 1 2
direct
0.000 0.000 0.000 Zr
0.000 0.000 0.500 Al
0.500 0.500 0.280 Zn
0.500 0.500 0.720 Zn
```

Output
- Energy of formation: -262 meV/atom
- DOS at the Fermi energy: 0.4651 states/eV/atom
- Calculated total energy: -66.53 eV per cell
- Spin magnetization: 0.00 Bohr magnetons per cell

Density functional theory data (meta-GGA SCAN) for a PBEsol-optimized structure of ZrAlZn2.

The structure in POSCAR format:
```
ZrAlZn2
1.0
4.350 -1.505 0.000
4.350 1.505 0.000
-0.990 0.000 5.135
Zr Al Zn
1 1 2
direct
0.000 0.000 0.000 Zr
0.500 0.500 0.500 Al
0.243 0.243 0.717 Zn
0.757 0.757 0.283 Zn
```

Output
- Energy of formation: -182 meV/atom
- DOS at the Fermi energy: 0.4804 states/eV/atom
- Calculated total energy: -66.21 eV per cell
- Spin magnetization: 0.00 Bohr magnetons per cell

Density functional theory data (meta-GGA SCAN) for a PBEsol-optimized structure of Zr2AlZn2.

The structure in POSCAR format:
```
Zr2AlZn2
1.0
6.584 0.000 0.000
0.000 6.584 0.000
0.000 0.000 4.072
Zr Al Zn
4 2 4
direct
0.169 0.331 0.000 Zr
0.331 0.831 0.000 Zr
0.669 0.169 0.000 Zr
0.831 0.669 0.000 Zr
0.000 0.000 0.500 Al
0.500 0.500 0.500 Al
0.131 0.631 0.500 Zn
0.369 0.131 0.500 Zn
0.631 0.869 0.500 Zn
0.869 0.369 0.500 Zn
```

Output
- Energy of formation: -450 meV/atom
- DOS at the Fermi energy: 0.5445 states/eV/atom
- Calculated total energy: -196.86 eV per cell
- Spin magnetization: 0.00 Bohr magnetons per cell